Compound: CaMg14NiO16
Source: the Alexandria database
Functional: PBE with a Hubbard U
Structure: optimized geometry

Cell and atoms, written as extended XYZ:
```
32
Lattice="4.318 0.000 0.000 0.000 8.578 0.000 0.000 0.000 8.586" Properties=species:S:1:pos:R:3 pbc="T T T"
Mg 0.000 4.289 4.293
Mg 2.159 2.153 4.293
Mg 2.159 6.375 0.000
Mg 0.000 0.000 4.293
Mg 2.159 0.000 6.392
Mg 2.159 2.203 0.000
Mg 2.159 4.289 2.142
Mg 2.159 6.425 4.293
Mg 2.159 4.289 6.444
Mg 0.000 2.177 2.173
Mg 0.000 6.400 6.414
Mg 0.000 6.400 2.173
Mg 2.159 0.000 2.194
Mg 0.000 2.177 6.414
O 0.000 6.409 4.293
O 0.000 2.255 0.000
O 0.000 4.289 2.177
O 0.000 0.000 2.262
O 2.159 0.000 4.293
O 2.159 2.147 2.144
O 2.159 2.147 6.442
O 2.159 4.289 4.293
O 2.159 4.289 0.000
O 2.159 0.000 0.000
O 0.000 6.323 0.000
O 0.000 0.000 6.324
O 0.000 2.169 4.293
O 2.159 6.431 6.442
O 2.159 6.431 2.144
O 0.000 4.289 6.409
Ca 0.000 0.000 0.000
Ni 0.000 4.289 0.000
```

## Properties
Raw total energy: -5.91 eV per atom